a:
! EuSnBi PBE-GGA optimized geometry; values from VASP
&SYSTEM
  ibrav = 0, nat = 3, ntyp = 3
/
ATOMIC_SPECIES
Eu 151.96 Eu.upf
Bi 208.98 Bi.upf
Sn 118.71 Sn.upf
CELL_PARAMETERS angstrom
-0.771 -1.159 -3.220
5.365 0.369 -1.417
-1.984 -4.719 2.173
ATOMIC_POSITIONS angstrom
Eu -0.048 -3.796 -1.171
Bi -0.128 -0.193 -0.536
Sn 2.787 -1.520 -0.757
! Total magnetization: 7.21 μB/f.u.
! N(E_F): 0.568 states/eV per atom

b:
! EuSnBi PBE-GGA optimized geometry; values from VASP
&SYSTEM
  ibrav = 0, nat = 3, ntyp = 3
/
ATOMIC_SPECIES
Eu 151.96 Eu.upf
Bi 208.98 Bi.upf
Sn 118.71 Sn.upf
CELL_PARAMETERS angstrom
-2.184 -0.776 3.938
-2.835 -2.875 -2.139
5.456 -1.769 0.026
ATOMIC_POSITIONS angstrom
Eu -1.836 -2.647 1.111
Bi 0.233 -5.171 1.761
Sn 1.592 -1.942 0.500
! Total magnetization: 7.07 μB/f.u.
! N(E_F): 2.699 states/eV per atom

So which one is most stable? That would be a, about 42 meV per atom below the next structure.